[1]
7
Lattice="5.6349 0.0000 0.0000 -2.8174 4.8799 0.0000 0.0000 0.0000 6.3191" Properties=species:S:1:pos:R:3 comment="La4Cu3 (PBE, optimized geometry)" ef_ev_per_atom=0.07 magnetic_moment_mub_per_fu=0.0 pbc="T T T"
La 0.0000 0.0000 1.5053
La 0.0000 0.0000 4.8138
La 0.0000 3.2533 3.1595
La 2.8174 1.6266 3.1595
Cu -1.4087 2.4400 0.0000
Cu 2.8174 0.0000 0.0000
Cu 1.4087 2.4400 0.0000

***

[2]
4
Lattice="3.8184 0.0000 0.0000 0.0000 4.3668 0.0000 0.0000 0.0000 4.8414" Properties=species:S:1:pos:R:3 comment="LaCu3 (PBE, optimized geometry)" ef_ev_per_atom=-0.02 magnetic_moment_mub_per_fu=0.0 pbc="T T T"
La 0.0000 0.0000 0.0000
Cu 1.9092 0.0000 2.4207
Cu 1.9092 2.1834 1.2242
Cu 1.9092 2.1834 3.6172

***

[3]
9
Lattice="-4.5837 4.5837 2.5804 4.5837 -4.5837 2.5804 4.5837 4.5837 -2.5804" Properties=species:S:1:pos:R:3 comment="La5Cu4 (PBE, optimized geometry)" ef_ev_per_atom=0.17 magnetic_moment_mub_per_fu=0.0 pbc="T T T"
La 0.0000 0.0000 0.0000
La 2.9913 2.9913 0.0000
La 1.5924 -1.5924 2.5804
La -1.5924 1.5924 2.5804
La 1.5924 1.5924 2.5804
Cu 3.3406 0.0000 0.0000
Cu 5.8268 0.0000 0.0000
Cu 0.0000 3.3406 0.0000
Cu 0.0000 5.8268 0.0000

***

[4]
6
Lattice="3.1601 0.0000 0.0000 0.0000 3.1601 0.0000 0.0000 0.0000 9.3412" Properties=species:S:1:pos:R:3 comment="LaCu5 (PBE, optimized geometry)" ef_ev_per_atom=0.04 magnetic_moment_mub_per_fu=0.0 pbc="T T T"
La 0.0000 0.0000 0.0000
Cu 0.0000 0.0000 3.3854
Cu 0.0000 0.0000 5.9557
Cu 1.5800 1.5800 2.1793
Cu 1.5800 1.5800 4.6706
Cu 1.5800 1.5800 7.1619

***

[5]
16
Lattice="8.7671 0.0000 0.0000 0.0000 8.7671 0.0000 0.0000 0.0000 5.1079" Properties=species:S:1:pos:R:3 comment="LaCu (PBE, optimized geometry)" ef_ev_per_atom=-0.06 magnetic_moment_mub_per_fu=0.0 pbc="T T T"
La 0.0000 2.5106 0.0000
La 0.0000 6.2565 0.0000
La 1.8729 4.3836 2.5540
La 2.5106 0.0000 0.0000
La 4.3836 1.8729 2.5540
La 4.3836 6.8942 2.5540
La 6.2565 0.0000 0.0000
La 6.8942 4.3836 2.5540
Cu 1.2628 1.2628 2.5540
Cu 1.2628 7.5043 2.5540
Cu 3.1208 3.1208 0.0000
Cu 3.1208 5.6463 0.0000
Cu 5.6463 3.1208 0.0000
Cu 5.6463 5.6463 0.0000
Cu 7.5043 1.2628 2.5540
Cu 7.5043 7.5043 2.5540

***

[6]
8
Lattice="6.5418 0.0000 0.0000 0.0000 6.5418 0.0000 0.0000 0.0000 6.5418" Properties=species:S:1:pos:R:3 comment="LaCu (PBE, optimized geometry)" ef_ev_per_atom=0.46 magnetic_moment_mub_per_fu=0.0 pbc="T T T"
La 0.0000 0.0000 0.0000
La 0.0000 3.2709 3.2709
La 3.2709 0.0000 3.2709
La 3.2709 3.2709 0.0000
Cu 1.6355 1.6355 1.6355
Cu 1.6355 4.9064 4.9064
Cu 4.9064 1.6355 4.9064
Cu 4.9064 4.9064 1.6355

***

[7]
12
Lattice="4.9416 0.0000 0.0000 0.0000 9.1962 0.0000 0.0000 0.0000 4.3972" Properties=species:S:1:pos:R:3 comment="LaCu5 (PBE, optimized geometry)" ef_ev_per_atom=0.06 magnetic_moment_mub_per_fu=0.0 pbc="T T T"
La 0.0000 0.0000 0.0000
La 2.4708 4.5981 0.0000
Cu 0.0000 2.1321 2.1986
Cu 0.0000 3.1528 0.0000
Cu 0.0000 4.5981 2.1986
Cu 0.0000 6.0434 0.0000
Cu 0.0000 7.0641 2.1986
Cu 2.4708 0.0000 2.1986
Cu 2.4708 1.4453 0.0000
Cu 2.4708 2.4660 2.1986
Cu 2.4708 6.7302 2.1986
Cu 2.4708 7.7509 0.0000

***

[8]
16
Lattice="5.3003 0.0000 0.0000 0.0000 5.3003 0.0000 0.0000 0.0000 17.6891" Properties=species:S:1:pos:R:3 comment="LiLa6Cu (PBE, optimized geometry)" ef_ev_per_atom=0.01 magnetic_moment_mub_per_fu=0.0 pbc="T T T"
Li 0.0000 0.0000 0.0000
Li 2.6502 2.6502 8.8445
La 0.0000 0.0000 4.3835
La 0.0000 0.0000 13.3055
La 0.0000 2.6502 1.8628
La 0.0000 2.6502 6.9817
La 0.0000 2.6502 10.7073
La 0.0000 2.6502 15.8263
La 2.6502 0.0000 1.8628
La 2.6502 0.0000 6.9817
La 2.6502 0.0000 10.7073
La 2.6502 0.0000 15.8263
La 2.6502 2.6502 4.4610
La 2.6502 2.6502 13.2281
Cu 0.0000 0.0000 8.8445
Cu 2.6502 2.6502 0.0000

***

Repeat the fifth record exactly.
16
Lattice="8.7671 0.0000 0.0000 0.0000 8.7671 0.0000 0.0000 0.0000 5.1079" Properties=species:S:1:pos:R:3 comment="LaCu (PBE, optimized geometry)" ef_ev_per_atom=-0.06 magnetic_moment_mub_per_fu=0.0 pbc="T T T"
La 0.0000 2.5106 0.0000
La 0.0000 6.2565 0.0000
La 1.8729 4.3836 2.5540
La 2.5106 0.0000 0.0000
La 4.3836 1.8729 2.5540
La 4.3836 6.8942 2.5540
La 6.2565 0.0000 0.0000
La 6.8942 4.3836 2.5540
Cu 1.2628 1.2628 2.5540
Cu 1.2628 7.5043 2.5540
Cu 3.1208 3.1208 0.0000
Cu 3.1208 5.6463 0.0000
Cu 5.6463 3.1208 0.0000
Cu 5.6463 5.6463 0.0000
Cu 7.5043 1.2628 2.5540
Cu 7.5043 7.5043 2.5540